Entry 1:
The following is a GGA-PBE calculation of YSn2CF after structural relaxation, from the Alexandria database.

a = 5.908 Å, b = 4.280 Å, c = 5.908 Å
α = 90.00°, β = 90.00°, γ = 90.00°
Element x y z (fractional)
Sn 0.000 0.000 0.500
Sn 0.500 0.000 0.000
Y 0.000 0.000 0.000
C 0.000 0.500 0.000
F 0.500 0.500 0.500

## Properties
- energy relative to the elements, uncorrected (eV per atom) = 0.817
- SG = No. 123
- N(E_F) (states/eV per atom) = 1.307
- size of the total moment (μB per formula unit) = 0.00

Entry 2:
The following is a GGA-PBE calculation of SrCF2 after structural relaxation, from the Alexandria database.

a = 4.336 Å, b = 4.336 Å, c = 4.336 Å
α = 60.00°, β = 60.00°, γ = 60.00°
Each line ends with the local moment (μB).
Element x y z (fractional)
Sr 0.500 0.500 0.500  0.04
C 0.000 0.000 0.000  0.95
F 0.750 0.750 0.750  0.05
F 0.250 0.250 0.250  0.05

## Properties
- energy above the lowest structure with this stoichiometry (meV per atom) = 139.7
- energy relative to the elements, uncorrected (eV per atom) = -0.915
- SG = No. 225
- N(E_F) (states/eV per atom) = 1.518
- size of the total moment (μB per formula unit) = 2.00

Entry 3:
The following is a GGA-PBE calculation of SrCF3 after structural relaxation, from the Alexandria database.

a = 4.737 Å, b = 4.737 Å, c = 4.737 Å
α = 90.00°, β = 90.00°, γ = 90.00°
Each line ends with the local moment (μB).
Element x y z (fractional)
F 0.000 0.500 0.000  -0.07
F 0.000 0.000 0.500  -0.16
F 0.500 0.000 0.000  -0.12
Sr 0.000 0.000 0.000  0.00
C 0.500 0.500 0.500  0.75

## Properties
- energy above the lowest structure with this stoichiometry (meV per atom) = 359.3
- energy relative to the elements, uncorrected (eV per atom) = -0.845
- SG = No. 221
- N(E_F) (states/eV per atom) = 1.112
- size of the total moment (μB per formula unit) = 1.00

Entry 4:
The following is a GGA-PBE calculation of SrCF2 after structural relaxation, from the Alexandria database.

a = 4.284 Å, b = 4.284 Å, c = 8.074 Å
α = 74.62°, β = 74.62°, γ = 90.00°
Each line ends with the local moment (μB).
Element x y z (fractional)
F 0.375 0.380 0.750  0.06
F 0.620 0.125 0.250  0.06
F 0.130 0.625 0.250  0.06
F 0.875 0.870 0.750  0.06
C 0.500 0.500 0.000  0.89
C 0.250 0.750 0.500  0.89
Sr 0.000 0.000 0.000  0.05
Sr 0.750 0.250 0.500  0.05

## Properties
- energy above the lowest structure with this stoichiometry (meV per atom) = 178.7
- energy relative to the elements, uncorrected (eV per atom) = -0.876
- SG = No. 122
- N(E_F) (states/eV per atom) = 0.000
- size of the total moment (μB per formula unit) = 2.00